*P*
A relaxed Li3MgZn3 crystal. Source: Alexandria, functional PBE.

CIF file:
```
data_Li3MgZn3
_space_group_name_H-M_alt 'P 1'
_space_group_IT_number 1
_cell_length_a 6.8369
_cell_length_b 6.8369
_cell_length_c 6.8369
_cell_angle_alpha 90.00
_cell_angle_beta 90.00
_cell_angle_gamma 90.00
loop_
_space_group_symop_operation_xyz
'x,y,z'
loop_
_atom_site_label
_atom_site_fract_x
_atom_site_fract_y
_atom_site_fract_z
_atom_site_occupancy
Li1 0.0000 0.2500 0.5000 1
Li2 0.0000 0.7500 0.5000 1
Li3 0.2500 0.5000 0.0000 1
Li4 0.5000 0.0000 0.2500 1
Li5 0.5000 0.0000 0.7500 1
Li6 0.7500 0.5000 0.0000 1
Mg1 0.0000 0.0000 0.0000 1
Mg2 0.5000 0.5000 0.5000 1
Zn1 0.0000 0.5000 0.2500 1
Zn2 0.0000 0.5000 0.7500 1
Zn3 0.2500 0.0000 0.5000 1
Zn4 0.5000 0.2500 0.0000 1
Zn5 0.5000 0.7500 0.0000 1
Zn6 0.7500 0.0000 0.5000 1
```

Values from the calculation:
Fermi-level density of states, states/eV/atom: 0.520
Total magnetic moment, μB per atom: 0.00
Space group: No. 223

*Q*
A relaxed Li3MgZn3 crystal. Source: Alexandria, functional PBE.

CIF file:
```
data_Li3MgZn3
_space_group_name_H-M_alt 'P 1'
_space_group_IT_number 1
_cell_length_a 7.0645
_cell_length_b 7.0645
_cell_length_c 7.0645
_cell_angle_alpha 56.93
_cell_angle_beta 56.93
_cell_angle_gamma 56.93
loop_
_space_group_symop_operation_xyz
'x,y,z'
loop_
_atom_site_label
_atom_site_fract_x
_atom_site_fract_y
_atom_site_fract_z
_atom_site_occupancy
Li1 0.0754 0.2889 0.8258 1
Li2 0.1742 0.9246 0.7111 1
Li3 0.2889 0.8258 0.0754 1
Li4 0.7111 0.1742 0.9246 1
Li5 0.8258 0.0754 0.2889 1
Li6 0.9246 0.7111 0.1742 1
Mg1 0.3454 0.3454 0.3454 1
Mg2 0.6546 0.6546 0.6546 1
Zn1 0.0681 0.7350 0.5763 1
Zn2 0.2650 0.4237 0.9319 1
Zn3 0.4237 0.9319 0.2650 1
Zn4 0.5763 0.0681 0.7350 1
Zn5 0.7350 0.5763 0.0681 1
Zn6 0.9319 0.2650 0.4237 1
```

Values from the calculation:
Fermi-level density of states, states/eV/atom: 0.419
Total magnetic moment, μB per atom: 0.00
Space group: No. 148

Stability, descending: *Q*, *P*

*P*
A relaxed Li7Mg2Zn2 crystal. Source: Alexandria, functional PBE.

CIF file:
```
data_Li7Mg2Zn2
_space_group_name_H-M_alt 'P 1'
_space_group_IT_number 1
_cell_length_a 6.4749
_cell_length_b 6.4749
_cell_length_c 5.0591
_cell_angle_alpha 102.58
_cell_angle_beta 102.58
_cell_angle_gamma 95.73
loop_
_space_group_symop_operation_xyz
'x,y,z'
loop_
_atom_site_label
_atom_site_fract_x
_atom_site_fract_y
_atom_site_fract_z
_atom_site_occupancy
Li1 0.0000 0.0000 0.0000 1
Li2 0.0659 0.5926 0.8311 1
Li3 0.4074 0.9341 0.1689 1
Li4 0.4145 0.4145 0.2153 1
Li5 0.5855 0.5855 0.7847 1
Li6 0.5926 0.0659 0.8311 1
Li7 0.9341 0.4074 0.1689 1
Mg1 0.1986 0.1986 0.6063 1
Mg2 0.8014 0.8014 0.3937 1
Zn1 0.2462 0.7538 0.5000 1
Zn2 0.7538 0.2462 0.5000 1
```

Values from the calculation:
Fermi-level density of states, states/eV/atom: 0.392
Total magnetic moment, μB per atom: 0.00
Space group: No. 12

*Q*
A relaxed Li7Mg2Zn2 crystal. Source: Alexandria, functional PBE.

CIF file:
```
data_Li7Mg2Zn2
_space_group_name_H-M_alt 'P 1'
_space_group_IT_number 1
_cell_length_a 5.6338
_cell_length_b 5.6338
_cell_length_c 8.4699
_cell_angle_alpha 90.08
_cell_angle_beta 90.08
_cell_angle_gamma 57.18
loop_
_space_group_symop_operation_xyz
'x,y,z'
loop_
_atom_site_label
_atom_site_fract_x
_atom_site_fract_y
_atom_site_fract_z
_atom_site_occupancy
Li1 0.0000 0.0000 0.0000 1
Li2 0.0007 0.5009 0.6682 1
Li3 0.4988 0.4988 0.2386 1
Li4 0.4991 0.9993 0.3318 1
Li5 0.5009 0.0007 0.6682 1
Li6 0.5012 0.5012 0.7614 1
Li7 0.9993 0.4991 0.3318 1
Mg1 0.3075 0.3075 0.9986 1
Mg2 0.6925 0.6925 0.0014 1
Zn1 0.2393 0.7607 0.5000 1
Zn2 0.7607 0.2393 0.5000 1
```

Values from the calculation:
Fermi-level density of states, states/eV/atom: 0.474
Total magnetic moment, μB per atom: 0.00
Space group: No. 12

Stability, descending: *P*, *Q*

*P*
A relaxed Li8MgZn2 crystal. Source: Alexandria, functional PBE.

CIF file:
```
data_Li8MgZn2
_space_group_name_H-M_alt 'P 1'
_space_group_IT_number 1
_cell_length_a 7.1676
_cell_length_b 7.1676
_cell_length_c 4.5995
_cell_angle_alpha 95.91
_cell_angle_beta 95.91
_cell_angle_gamma 89.36
loop_
_space_group_symop_operation_xyz
'x,y,z'
loop_
_atom_site_label
_atom_site_fract_x
_atom_site_fract_y
_atom_site_fract_z
_atom_site_occupancy
Li1 0.0857 0.0857 0.3023 1
Li2 0.1180 0.6160 0.2880 1
Li3 0.2265 0.2265 0.8939 1
Li4 0.3840 0.8820 0.7120 1
Li5 0.6160 0.1180 0.2880 1
Li6 0.7735 0.7735 0.1061 1
Li7 0.8820 0.3840 0.7120 1
Li8 0.9143 0.9143 0.6977 1
Mg1 0.5000 0.5000 0.0000 1
Zn1 0.3576 0.3576 0.4575 1
Zn2 0.6424 0.6424 0.5425 1
```

Values from the calculation:
Fermi-level density of states, states/eV/atom: 0.427
Total magnetic moment, μB per atom: 0.00
Space group: No. 12

*Q*
A relaxed Li8MgZn2 crystal. Source: Alexandria, functional PBE.

CIF file:
```
data_Li8MgZn2
_space_group_name_H-M_alt 'P 1'
_space_group_IT_number 1
_cell_length_a 7.1570
_cell_length_b 7.1570
_cell_length_c 7.1534
_cell_angle_alpha 118.73
_cell_angle_beta 118.73
_cell_angle_gamma 37.88
loop_
_space_group_symop_operation_xyz
'x,y,z'
loop_
_atom_site_label
_atom_site_fract_x
_atom_site_fract_y
_atom_site_fract_z
_atom_site_occupancy
Li1 0.0463 0.0463 0.2261 1
Li2 0.1476 0.1476 0.7197 1
Li3 0.3111 0.3111 0.5877 1
Li4 0.3924 0.3924 0.0267 1
Li5 0.6076 0.6076 0.9733 1
Li6 0.6889 0.6889 0.4123 1
Li7 0.8524 0.8524 0.2803 1
Li8 0.9537 0.9537 0.7739 1
Mg1 0.5000 0.5000 0.5000 1
Zn1 0.2305 0.2305 0.1560 1
Zn2 0.7695 0.7695 0.8440 1
```

Values from the calculation:
Fermi-level density of states, states/eV/atom: 0.422
Total magnetic moment, μB per atom: 0.00
Space group: No. 12

Stability, descending: *Q*, *P*

*P*
A relaxed Li3Mg4Zn crystal. Source: Alexandria, functional PBE.

CIF file:
```
data_Li3Mg4Zn
_space_group_name_H-M_alt 'P 1'
_space_group_IT_number 1
_cell_length_a 25.5781
_cell_length_b 3.9152
_cell_length_c 3.3191
_cell_angle_alpha 90.00
_cell_angle_beta 97.29
_cell_angle_gamma 90.00
loop_
_space_group_symop_operation_xyz
'x,y,z'
loop_
_atom_site_label
_atom_site_fract_x
_atom_site_fract_y
_atom_site_fract_z
_atom_site_occupancy
Li1 0.0000 0.0000 0.0000 1
Li2 0.1529 0.0000 0.6538 1
Li3 0.3471 0.5000 0.3462 1
Li4 0.5000 0.5000 0.0000 1
Li5 0.6529 0.5000 0.6538 1
Li6 0.8471 0.0000 0.3462 1
Mg1 0.0896 0.5000 0.0913 1
Mg2 0.2153 0.5000 0.2155 1
Mg3 0.2847 0.0000 0.7845 1
Mg4 0.4104 0.0000 0.9087 1
Mg5 0.5896 0.0000 0.0913 1
Mg6 0.7153 0.0000 0.2155 1
Mg7 0.7847 0.5000 0.7845 1
Mg8 0.9104 0.5000 0.9087 1
Zn1 0.0000 0.5000 0.5000 1
Zn2 0.5000 0.0000 0.5000 1
```

Values from the calculation:
Fermi-level density of states, states/eV/atom: 0.364
Total magnetic moment, μB per atom: 0.00
Space group: No. 12

*Q*
A relaxed Li3Mg4Zn crystal. Source: Alexandria, functional PBE.

CIF file:
```
data_Li3Mg4Zn
_space_group_name_H-M_alt 'P 1'
_space_group_IT_number 1
_cell_length_a 3.3664
_cell_length_b 3.3664
_cell_length_c 13.6527
_cell_angle_alpha 90.00
_cell_angle_beta 90.00
_cell_angle_gamma 90.00
loop_
_space_group_symop_operation_xyz
'x,y,z'
loop_
_atom_site_label
_atom_site_fract_x
_atom_site_fract_y
_atom_site_fract_z
_atom_site_occupancy
Li1 0.0000 0.0000 0.0000 1
Li2 0.0000 0.0000 0.2526 1
Li3 0.0000 0.0000 0.7474 1
Mg1 0.5000 0.5000 0.1270 1
Mg2 0.5000 0.5000 0.3785 1
Mg3 0.5000 0.5000 0.6215 1
Mg4 0.5000 0.5000 0.8730 1
Zn1 0.0000 0.0000 0.5000 1
```

Values from the calculation:
Fermi-level density of states, states/eV/atom: 0.388
Total magnetic moment, μB per atom: 0.00
Space group: No. 123

Stability, descending: *Q*, *P*

*P*
A relaxed LiMg4Zn crystal. Source: Alexandria, functional PBE.

CIF file:
```
data_LiMg4Zn
_space_group_name_H-M_alt 'P 1'
_space_group_IT_number 1
_cell_length_a 8.2570
_cell_length_b 3.2038
_cell_length_c 18.5086
_cell_angle_alpha 90.00
_cell_angle_beta 90.00
_cell_angle_gamma 90.00
loop_
_space_group_symop_operation_xyz
'x,y,z'
loop_
_atom_site_label
_atom_site_fract_x
_atom_site_fract_y
_atom_site_fract_z
_atom_site_occupancy
Li1 0.2498 0.2500 0.0588 1
Li2 0.2502 0.7500 0.5588 1
Li3 0.7498 0.2500 0.4412 1
Li4 0.7502 0.7500 0.9412 1
Mg1 0.0502 0.2500 0.9305 1
Mg2 0.0594 0.2500 0.2055 1
Mg3 0.1100 0.2500 0.6726 1
Mg4 0.1130 0.2500 0.4352 1
Mg5 0.3870 0.7500 0.9352 1
Mg6 0.3900 0.7500 0.1726 1
Mg7 0.4406 0.7500 0.7055 1
Mg8 0.4498 0.7500 0.4305 1
Mg9 0.5502 0.2500 0.5695 1
Mg10 0.5594 0.2500 0.2945 1
Mg11 0.6100 0.2500 0.8274 1
Mg12 0.6130 0.2500 0.0648 1
Mg13 0.8870 0.7500 0.5648 1
Mg14 0.8900 0.7500 0.3274 1
Mg15 0.9406 0.7500 0.7945 1
Mg16 0.9498 0.7500 0.0695 1
Zn1 0.2426 0.7500 0.3104 1
Zn2 0.2574 0.2500 0.8104 1
Zn3 0.7426 0.7500 0.1896 1
Zn4 0.7574 0.2500 0.6896 1
```

Values from the calculation:
Fermi-level density of states, states/eV/atom: 0.369
Total magnetic moment, μB per atom: 0.00
Space group: No. 62

*Q*
A relaxed LiMg4Zn crystal. Source: Alexandria, functional PBE.

CIF file:
```
data_LiMg4Zn
_space_group_name_H-M_alt 'P 1'
_space_group_IT_number 1
_cell_length_a 4.5767
_cell_length_b 4.5793
_cell_length_c 6.7993
_cell_angle_alpha 88.29
_cell_angle_beta 88.52
_cell_angle_gamma 89.89
loop_
_space_group_symop_operation_xyz
'x,y,z'
loop_
_atom_site_label
_atom_site_fract_x
_atom_site_fract_y
_atom_site_fract_z
_atom_site_occupancy
Li1 0.0000 0.0000 0.0000 1
Mg1 0.0052 0.4949 0.2610 1
Mg2 0.4947 0.0062 0.2613 1
Mg3 0.5053 0.9938 0.7387 1
Mg4 0.9948 0.5051 0.7390 1
Zn1 0.5000 0.5000 0.5000 1
```

Values from the calculation:
Fermi-level density of states, states/eV/atom: 0.526
Total magnetic moment, μB per atom: 0.00
Space group: No. 2

Stability, descending: *P*, *Q*